# PmThBiI

Crystalline PmThBiI at its relaxed geometry (GGA-PBE, the Alexandria database).

Summary:
- E_form (uncorrected) (eV per formula unit) = -2.76
- calculated volume (A^3/atom) = 29.88
- size of the total moment (μB per atom) = 0.000

Cell: 5.5291 5.5291 5.5291 Å, 60.00 60.00 60.00°
With the nearest neighbours (Å) after each atom.
Positions (direct):
I (0.5000, 0.5000, 0.5000)  4 Th 3.39, 4 Pm 3.39
Bi (0.0000, 0.0000, 0.0000)  4 Pm 3.39, 4 Th 3.39
Th (0.7500, 0.7500, 0.7500)  4 Bi 3.39, 4 I 3.39
Pm (0.2500, 0.2500, 0.2500)  4 I 3.39, 4 Bi 3.39